Zr3Sc2 (PBE, optimized geometry); E_form = 0.4 eV/f.u.; energy = -7.58 eV per atom; SG = Fdd2, No. 43
1.0
3.0790 0.0000 0.5313
1.5395 5.3318 0.2657
-0.8474 0.0000 14.0982
Zr Sc
6 4
Cartesian
2.5034 5.0164 11.8775
0.8733 0.3154 2.9496
0.4496 2.3505 9.9987
1.3876 2.9813 4.5628
3.0194 0.0000 0.5210
2.5957 2.6659 7.5702
1.1019 5.1516 8.7494
1.1598 2.4858 13.0076
3.0652 2.8460 1.9659
1.5835 0.1802 5.9585

Ac2TmInAu6 (PBE, optimized geometry); E_form = -2.8 eV/f.u.; energy = -3.79 eV per atom; SG = Fm-3m, No. 225
1.0
-0.8775 -6.1238 -4.2244
-3.4508 -3.4334 5.6938
-6.8245 -2.9309 -0.9756
Tm Au Ac In
1 6 2 1
Cartesian
-2.1642 -4.7786 0.7347
-2.8134 -4.0998 3.2371
-4.5158 -3.8463 -0.1284
-6.6371 -8.6419 0.6221
-1.0721 -2.3673 0.3640
-10.0808 -10.1208 0.1298
-1.5149 -5.4574 -1.7677
-4.9331 -6.9166 -2.2327
-6.2198 -5.5715 2.7264
0.0000 0.0000 0.0000

La2Mg2Cu15 (PBE, optimized geometry); E_form = -2.2 eV/f.u.; energy = -4.04 eV per atom; SG = R-3m, No. 166
1.0
-5.2911 -3.9719 -0.6735
2.4766 -5.2854 3.1869
-2.7461 1.2056 5.9356
Cu La Mg
15 2 2
Cartesian
-4.5388 -2.4415 1.2800
-0.6764 -5.4369 4.5197
1.2383 -2.6427 1.5934
-0.9813 -3.2748 5.8689
0.9328 -3.3668 3.9994
-2.6455 -1.9860 -0.3368
-2.9951 -4.3602 0.4675
-4.5792 -4.7770 2.5800
-3.4983 -0.3248 3.9820
-1.3730 0.6028 2.9678
-4.8842 -2.6149 3.9292
-2.2601 -5.8763 2.5482
-1.2023 -0.7131 5.1231
0.1806 -4.8972 2.0458
-3.3005 -2.1755 5.9008
-1.9669 -2.8481 2.9886
-3.5937 -5.2037 5.4604
-0.5785 -0.8376 0.8789
-4.9821 -7.2142 7.5700

Q: energy of number 1 (Zr3Sc2)?
A: -7.58 eV per atom